[1]
Density functional theory data (PBE) for a relaxed TcAs2CS crystal.

The value obtained for the density of states at the Fermi level is 4.09 states/eV per cell. The calculation puts the formation energy from raw total energies at 8.2 eV/f.u. The calculation puts the size of the total moment at 1.415 μB/f.u.

The structure belongs to space group P4/mmm (No. 123); the cell edges are 4.884, 4.884 and 4.414 Å and the angles 90.00°, 90.00° and 90.00°. The distinct sites, in fractional coordinates, are Tc at (0.000, 0.000, 0.000), As at (0.000, 0.500, 0.000), C at (0.500, 0.500, 0.500) and S at (0.000, 0.000, 0.500).

=====

[2]
Density functional theory data (PBE) for a relaxed Th6AsC3S2 crystal.

The value obtained for the density of states at the Fermi level is 9.72 states/eV per cell. The calculation puts the formation energy from raw total energies at -13.0 eV/f.u. The calculation puts the size of the total moment at 0.000 μB/f.u.

The structure belongs to space group C2/m (No. 12); the cell edges are 17.552, 3.883 and 8.118 Å and the angles 90.00°, 106.70° and 90.00°. The distinct sites, in fractional coordinates, are Th at (0.008, 0.000, 0.226), Th at (0.158, 0.500, 0.105), Th at (0.176, 0.500, 0.561), As at (0.000, 0.500, 0.500), C at (0.000, 0.500, 0.000), C at (0.167, 0.000, 0.329) and S at (0.168, 0.000, 0.835).

=====

[3]
Density functional theory data (PBE) for a relaxed Th4AsC2S crystal.

The value obtained for the density of states at the Fermi level is 3.65 states/eV per cell. The calculation puts the formation energy from raw total energies at -8.2 eV/f.u. The calculation puts the size of the total moment at 0.000 μB/f.u.

The structure belongs to space group P2/m (No. 10); the cell edges are 6.749, 3.903 and 7.147 Å and the angles 90.00°, 108.37° and 90.00°. The distinct sites, in fractional coordinates, are Th at (0.235, 0.000, 0.210), Th at (0.262, 0.500, 0.789), As at (0.500, 0.500, 0.500), C at (0.000, 0.500, 0.000), C at (0.500, 0.000, 0.000) and S at (0.000, 0.000, 0.500).

=====

[4]
Density functional theory data (PBE) for a relaxed Th4As2CS crystal.

The value obtained for the density of states at the Fermi level is 3.13 states/eV per cell. The calculation puts the formation energy from raw total energies at -9.8 eV/f.u. The calculation puts the size of the total moment at 0.000 μB/f.u.

The structure belongs to space group P2/m (No. 10); the cell edges are 7.093, 4.049 and 7.139 Å and the angles 90.00°, 108.88° and 90.00°. The distinct sites, in fractional coordinates, are Th at (0.223, 0.000, 0.217), Th at (0.240, 0.500, 0.775), As at (0.000, 0.000, 0.500), As at (0.500, 0.500, 0.500), C at (0.000, 0.500, 0.000) and S at (0.500, 0.000, 0.000).

=====

[5]
Density functional theory data (PBE) for a relaxed Th6As2CS3 crystal.

The value obtained for the density of states at the Fermi level is 16.21 states/eV per cell. The calculation puts the formation energy from raw total energies at -17.2 eV/f.u. The calculation puts the size of the total moment at 0.000 μB/f.u.

The structure belongs to space group C2/m (No. 12); the cell edges are 17.728, 4.055 and 8.238 Å and the angles 90.00°, 102.28° and 90.00°. The distinct sites, in fractional coordinates, are Th at (0.004, 0.000, 0.279), Th at (0.153, 0.500, 0.570), Th at (0.163, 0.500, 0.092), As at (0.166, 0.000, 0.835), C at (0.000, 0.500, 0.500), S at (0.000, 0.500, 0.000) and S at (0.172, 0.000, 0.339).

=====

[6]
Density functional theory data (PBE) for a relaxed Th8AsC4S3 crystal.

The value obtained for the density of states at the Fermi level is 17.43 states/eV per cell. The calculation puts the formation energy from raw total energies at -17.8 eV/f.u. The calculation puts the size of the total moment at 0.000 μB/f.u.

The structure belongs to space group R-3m (No. 166, hexagonal axes); the cell edges are 7.7565, 7.7565 and 20.2254 Å and the angles 90.00°, 90.00° and 120.00°. The distinct sites, in fractional coordinates, are Th at (0.0000, 0.0000, 0.2368), Th at (0.0016, 0.5008, 0.2366), As at (0.0000, 0.0000, 0.0000), C at (0.0000, 0.0000, 0.5000), C at (0.0000, 0.5000, 0.5000) and S at (0.0000, 0.5000, 0.0000).